Mg5Tl2Cd4 | GGA-PBE | optimized geometry

a = 3.3593 Å, b = 7.5090 Å, c = 20.4511 Å
α = 90.00°, β = 90.00°, γ = 90.00°
With the nearest neighbours (Å) after each atom.
Element x y z (fractional)
Mg  0.0000  0.5000  0.0000  8 Cd 3.02-3.10, 4 Mg 3.27-3.36
Mg  0.0000  0.0000  0.5000  8 Cd 3.02-3.10, 4 Mg 3.27-3.36
Mg  0.0000  0.2359  0.1648  4 Cd 3.02-3.09, 4 Tl 3.16-3.19, 3 Mg 3.20-3.36
Mg  0.0000  0.7641  0.8352  4 Cd 3.02-3.09, 4 Tl 3.16-3.19, 3 Mg 3.20-3.36
Mg  0.0000  0.7359  0.3352  4 Cd 3.02-3.09, 4 Tl 3.16-3.19, 3 Mg 3.20-3.36
Mg  0.0000  0.2641  0.6648  4 Cd 3.02-3.09, 4 Tl 3.16-3.19, 3 Mg 3.20-3.36
Mg  0.0000  0.3679  0.4145  6 Cd 3.01-3.08, 4 Mg 3.20-3.36, 2 Tl 3.24
Mg  0.0000  0.6321  0.5855  6 Cd 3.01-3.08, 4 Mg 3.20-3.36, 2 Tl 3.24
Mg  0.0000  0.8679  0.0855  6 Cd 3.01-3.08, 4 Mg 3.20-3.36, 2 Tl 3.24
Mg  0.0000  0.1321  0.9145  6 Cd 3.01-3.08, 4 Mg 3.20-3.36, 2 Tl 3.24
Tl  0.5000  0.4072  0.2796  6 Mg 3.16-3.24, 2 Cd 3.28-3.33, 2 Tl 3.36
Tl  0.5000  0.5928  0.7204  6 Mg 3.16-3.24, 2 Cd 3.28-3.33, 2 Tl 3.36
Tl  0.5000  0.9072  0.2204  6 Mg 3.16-3.24, 2 Cd 3.28-3.33, 2 Tl 3.36
Tl  0.5000  0.0928  0.7796  6 Mg 3.16-3.24, 2 Cd 3.28-3.33, 2 Tl 3.36
Cd  0.5000  0.3168  0.5392  8 Mg 3.02-3.09, 4 Cd 3.19-3.36
Cd  0.5000  0.6832  0.4608  8 Mg 3.02-3.09, 4 Cd 3.19-3.36
Cd  0.5000  0.8168  0.9608  8 Mg 3.02-3.09, 4 Cd 3.19-3.36
Cd  0.5000  0.1832  0.0392  8 Mg 3.02-3.09, 4 Cd 3.19-3.36
Cd  0.5000  0.4462  0.8739  6 Mg 3.01-3.10, 2 Tl 3.28-3.33, 3 Cd 3.30-3.36
Cd  0.5000  0.5538  0.1261  6 Mg 3.01-3.10, 2 Tl 3.28-3.33, 3 Cd 3.30-3.36
Cd  0.5000  0.9462  0.6261  6 Mg 3.01-3.10, 2 Tl 3.28-3.33, 3 Cd 3.30-3.36
Cd  0.5000  0.0538  0.3739  6 Mg 3.01-3.10, 2 Tl 3.28-3.33, 3 Cd 3.30-3.36

## Properties
**VASP energy**: -1.55 eV per atom
**Space-group type**: Pbam (55)
**M_tot**: 0.00 μB/cell

MgTlCd2 | GGA-PBE | optimized geometry

a = 5.6786 Å, b = 5.6786 Å, c = 5.4430 Å
α = 82.13°, β = 82.13°, γ = 33.99°
With the nearest neighbours (Å) after each atom.
Element x y z (fractional)
Tl  0.2439  0.2439  0.2643  3 Mg 3.16-3.28, 7 Cd 3.17-3.46, 2 Tl 3.32
Mg  0.4939  0.4939  0.4991  7 Cd 3.12-3.35, 3 Tl 3.16-3.28, 2 Mg 3.32
Cd  0.0056  0.0056  0.9802  4 Mg 3.12-3.26, 5 Cd 3.12-3.32, 3 Tl 3.20-3.46
Cd  0.7566  0.7566  0.7564  5 Cd 3.12-3.32, 4 Tl 3.17-3.21, 3 Mg 3.21-3.35

## Properties
**VASP energy**: -1.45 eV per atom
**Energy relative to the lowest polymorph listed for this composition**: 0.018 eV per atom
**Space-group type**: Cm (8)
**M_tot**: 0.00 μB/cell

Mg7Tl2Cd2 | GGA-PBE | optimized geometry

a = 5.7376 Å, b = 5.7376 Å, c = 8.4036 Å
α = 99.78°, β = 99.78°, γ = 100.87°
With the nearest neighbours (Å) after each atom.
Element x y z (fractional)
Mg  0.9271  0.5568  0.1882  2 Tl 2.94-3.04, 1 Cd 2.97, 2 Mg 3.21-3.28
Mg  0.4432  0.0729  0.8118  2 Tl 2.94-3.04, 1 Cd 2.97, 2 Mg 3.21-3.28
Mg  0.0729  0.4432  0.8118  2 Tl 2.94-3.04, 1 Cd 2.97, 2 Mg 3.21-3.28
Mg  0.5568  0.9271  0.1882  2 Tl 2.94-3.04, 1 Cd 2.97, 2 Mg 3.21-3.28
Mg  0.0000  0.0000  0.0000  2 Tl 2.91, 6 Mg 3.21-3.23
Mg  0.8602  0.8602  0.6017  2 Mg 2.99-3.23, 4 Cd 3.04-3.10, 1 Tl 3.06
Mg  0.1398  0.1398  0.3983  2 Mg 2.99-3.23, 4 Cd 3.04-3.10, 1 Tl 3.06
Tl  0.5973  0.5973  0.8308  6 Mg 2.91-3.06, 2 Cd 3.21
Tl  0.4027  0.4027  0.1692  6 Mg 2.91-3.06, 2 Cd 3.21
Cd  0.2996  0.7004  0.5000  6 Mg 2.97-3.10, 2 Tl 3.21
Cd  0.7004  0.2996  0.5000  6 Mg 2.97-3.10, 2 Tl 3.21

## Properties
**VASP energy**: -1.62 eV per atom
**Energy relative to the lowest polymorph listed for this composition**: 0.006 eV per atom
**Space-group type**: C2/m (12)
**M_tot**: 0.00 μB/cell

MgTlCd4 | GGA-PBE | optimized geometry

a = 3.6255 Å, b = 3.6225 Å, c = 11.0798 Å
α = 89.79°, β = 90.00°, γ = 90.00°
With the nearest neighbours (Å) after each atom.
Element x y z (fractional)
Mg  0.0000  0.0000  0.0000  10 Cd 3.05-3.38
Tl  0.5000  0.5000  0.5000  8 Cd 3.34-3.37, 4 Tl 3.62-3.63
Cd  0.0000  0.0034  0.6953  4 Cd 3.09, 4 Tl 3.34-3.37, 1 Mg 3.38
Cd  0.5000  0.5025  0.8509  4 Mg 3.05, 5 Cd 3.09-3.30
Cd  0.5000  0.4975  0.1491  4 Mg 3.05, 5 Cd 3.09-3.30
Cd  0.0000  0.9966  0.3047  4 Cd 3.09, 4 Tl 3.34-3.37, 1 Mg 3.38

## Properties
**VASP energy**: -1.26 eV per atom
**Energy relative to the lowest polymorph listed for this composition**: 0.000 eV per atom
**Space-group type**: P2/m (10)
**M_tot**: 0.00 μB/cell

Mg5Tl2Cd2 | GGA-PBE | optimized geometry

a = 7.7672 Å, b = 7.6470 Å, c = 8.3477 Å
α = 117.26°, β = 90.00°, γ = 90.00°
With the nearest neighbours (Å) after each atom.
Element x y z (fractional)
Mg  0.0000  0.0000  0.0000  4 Cd 2.98-3.03, 2 Tl 3.13
Mg  0.5000  0.5000  0.0000  4 Cd 2.98-3.03, 2 Tl 3.13
Mg  0.8267  0.7978  0.2610  3 Cd 2.89-3.08, 3 Tl 3.00-3.12
Mg  0.1733  0.4632  0.2610  3 Cd 2.89-3.08, 3 Tl 3.00-3.12
Mg  0.3267  0.9632  0.2610  3 Cd 2.89-3.08, 3 Tl 3.00-3.12
Mg  0.6733  0.2978  0.2610  3 Cd 2.89-3.08, 3 Tl 3.00-3.12
Mg  0.1733  0.2022  0.7390  3 Cd 2.89-3.08, 3 Tl 3.00-3.12
Mg  0.8267  0.5368  0.7390  3 Cd 2.89-3.08, 3 Tl 3.00-3.12
Mg  0.6733  0.0368  0.7390  3 Cd 2.89-3.08, 3 Tl 3.00-3.12
Mg  0.3267  0.7022  0.7390  3 Cd 2.89-3.08, 3 Tl 3.00-3.12
Tl  0.0000  0.2108  0.4217  7 Mg 3.00-3.13
Tl  0.5000  0.7108  0.4217  7 Mg 3.00-3.13
Tl  0.0000  0.7892  0.5783  7 Mg 3.00-3.13
Tl  0.5000  0.2892  0.5783  7 Mg 3.00-3.13
Cd  0.6325  0.8663  0.0000  8 Mg 2.89-3.08, 1 Cd 2.90
Cd  0.3675  0.1337  0.0000  8 Mg 2.89-3.08, 1 Cd 2.90
Cd  0.1325  0.6337  0.0000  8 Mg 2.89-3.08, 1 Cd 2.90
Cd  0.8675  0.3663  0.0000  8 Mg 2.89-3.08, 1 Cd 2.90

## Properties
**VASP energy**: -1.62 eV per atom
**Energy relative to the lowest polymorph listed for this composition**: 0.007 eV per atom
**Space-group type**: Cmce (64)
**M_tot**: 0.00 μB/cell

MgTlCd2 | GGA-PBE | optimized geometry

a = 4.4640 Å, b = 4.4640 Å, c = 4.7692 Å
α = 90.00°, β = 90.00°, γ = 90.00°
With the nearest neighbours (Å) after each atom.
Element x y z (fractional)
Cd  0.0000  0.0000  0.0000  4 Cd 3.16, 4 Tl 3.27, 4 Mg 3.27
Cd  0.5000  0.5000  0.0000  4 Cd 3.16, 4 Tl 3.27, 4 Mg 3.27
Mg  0.5000  0.0000  0.5000  4 Tl 3.16, 8 Cd 3.27
Tl  0.0000  0.5000  0.5000  4 Mg 3.16, 8 Cd 3.27

## Properties
**VASP energy**: -1.46 eV per atom
**Energy relative to the lowest polymorph listed for this composition**: 0.009 eV per atom
**Space-group type**: P4/mmm (123)
**M_tot**: 0.00 μB/cell

MgTlCd | GGA-PBE | optimized geometry

a = 3.3353 Å, b = 3.3353 Å, c = 7.7397 Å
α = 90.00°, β = 90.00°, γ = 120.00°
With the nearest neighbours (Å) after each atom.
Element x y z (fractional)
Tl  0.3333  0.6667  0.6634  3 Mg 3.25, 3 Cd 3.32, 6 Tl 3.34
Mg  0.6667  0.3333  0.3246  3 Cd 3.09, 3 Tl 3.25, 6 Mg 3.34
Cd  0.0000  0.0000  0.0121  3 Mg 3.09, 3 Tl 3.32, 6 Cd 3.34

## Properties
**VASP energy**: -1.62 eV per atom
**Energy relative to the lowest polymorph listed for this composition**: 0.016 eV per atom
**Space-group type**: P3m1 (156)
**M_tot**: 0.00 μB/cell

Mg3Tl4Cd | GGA-PBE | optimized geometry

a = 3.7904 Å, b = 3.7904 Å, c = 14.2254 Å
α = 90.00°, β = 90.00°, γ = 90.00°
With the nearest neighbours (Å) after each atom.
Element x y z (fractional)
Mg  0.5000  0.5000  0.2509  8 Tl 3.21, 1 Mg 3.54, 1 Cd 3.57
Mg  0.5000  0.5000  0.5000  8 Tl 3.22, 2 Mg 3.54
Mg  0.5000  0.5000  0.7491  8 Tl 3.21, 1 Mg 3.54, 1 Cd 3.57
Tl  0.0000  0.0000  0.8738  4 Mg 3.21, 4 Cd 3.23, 2 Tl 3.54-3.59
Tl  0.0000  0.0000  0.1262  4 Mg 3.21, 4 Cd 3.23, 2 Tl 3.54-3.59
Tl  0.0000  0.0000  0.3747  8 Mg 3.21-3.22, 2 Tl 3.54-3.56
Tl  0.0000  0.0000  0.6253  8 Mg 3.21-3.22, 2 Tl 3.54-3.56
Cd  0.5000  0.5000  0.0000  8 Tl 3.23, 2 Mg 3.57

## Properties
**VASP energy**: -1.89 eV per atom
**Space-group type**: P4/mmm (123)
**M_tot**: 0.00 μB/cell

MgTlCd6 | GGA-PBE | optimized geometry

a = 4.5501 Å, b = 4.5501 Å, c = 9.0463 Å
α = 90.00°, β = 90.00°, γ = 90.00°
With the nearest neighbours (Å) after each atom.
Element x y z (fractional)
Mg  0.0000  0.0000  0.5000  12 Cd 3.12-3.22
Tl  0.0000  0.0000  0.0000  12 Cd 3.22-3.29
Cd  0.5000  0.5000  0.0000  4 Tl 3.22, 8 Cd 3.29
Cd  0.5000  0.5000  0.5000  8 Cd 3.12, 4 Mg 3.22
Cd  0.5000  0.0000  0.2634  8 Cd 3.12-3.29, 2 Mg 3.12, 2 Tl 3.29
Cd  0.5000  0.0000  0.7366  8 Cd 3.12-3.29, 2 Mg 3.12, 2 Tl 3.29
Cd  0.0000  0.5000  0.2634  8 Cd 3.12-3.29, 2 Mg 3.12, 2 Tl 3.29
Cd  0.0000  0.5000  0.7366  8 Cd 3.12-3.29, 2 Mg 3.12, 2 Tl 3.29

## Properties
**VASP energy**: -1.18 eV per atom
**Space-group type**: P4/mmm (123)
**M_tot**: 0.00 μB/cell

MgTlCd3 | GGA-PBE | optimized geometry

a = 5.1838 Å, b = 7.0737 Å, c = 8.0467 Å
α = 116.07°, β = 108.79°, γ = 90.00°
With the nearest neighbours (Å) after each atom.
Element x y z (fractional)
Mg  0.5023  0.7523  0.0047  6 Cd 2.99-3.07, 2 Tl 3.04
Mg  0.4977  0.2477  0.9953  6 Cd 2.99-3.07, 2 Tl 3.04
Tl  0.8800  0.1300  0.7600  2 Mg 3.04, 7 Cd 3.23-3.31
Tl  0.1200  0.8700  0.2400  2 Mg 3.04, 7 Cd 3.23-3.31
Cd  0.3177  0.3341  0.6354  2 Mg 2.99-3.07, 6 Cd 3.14-3.30, 3 Tl 3.27-3.31
Cd  0.6823  0.6659  0.3646  2 Mg 2.99-3.07, 6 Cd 3.14-3.30, 3 Tl 3.27-3.31
Cd  0.3177  0.8012  0.6354  2 Mg 2.99-3.07, 6 Cd 3.14-3.30, 3 Tl 3.27-3.31
Cd  0.6823  0.1988  0.3646  2 Mg 2.99-3.07, 6 Cd 3.14-3.30, 3 Tl 3.27-3.31
Cd  0.1197  0.3698  0.2395  2 Mg 3.07, 6 Cd 3.14-3.19, 1 Tl 3.23
Cd  0.8803  0.6302  0.7605  2 Mg 3.07, 6 Cd 3.14-3.19, 1 Tl 3.23

## Properties
**VASP energy**: -1.32 eV per atom
**Energy relative to the lowest polymorph listed for this composition**: 0.000 eV per atom
**Space-group type**: Imma (74)
**M_tot**: 0.00 μB/cell

Mg4Tl3Cd4 | GGA-PBE | optimized geometry

a = 3.3823 Å, b = 4.1370 Å, c = 19.2152 Å
α = 97.46°, β = 95.11°, γ = 89.81°
With the nearest neighbours (Å) after each atom.
Element x y z (fractional)
Mg  0.5474  0.5486  0.0942  4 Cd 3.08-3.13, 4 Tl 3.19-3.24, 2 Mg 3.38
Mg  0.4526  0.4514  0.9058  4 Cd 3.08-3.13, 4 Tl 3.19-3.24, 2 Mg 3.38
Mg  0.8128  0.8147  0.6284  5 Cd 3.09-3.26, 4 Tl 3.19-3.25, 2 Mg 3.38
Mg  0.1871  0.1854  0.3716  5 Cd 3.09-3.26, 4 Tl 3.19-3.25, 2 Mg 3.38
Tl  0.6380  0.6395  0.2767  5 Mg 3.19-3.46, 5 Cd 3.24-3.41, 2 Tl 3.38
Tl  0.3620  0.3606  0.7233  5 Mg 3.19-3.46, 5 Cd 3.24-3.41, 2 Tl 3.38
Tl  0.0000  0.0000  0.0000  8 Mg 3.19-3.24, 2 Cd 3.37, 2 Tl 3.38
Cd  0.0905  0.0903  0.1774  4 Mg 3.08-3.13, 5 Tl 3.24-3.37, 2 Cd 3.38
Cd  0.2705  0.2721  0.5435  5 Mg 3.09-3.26, 6 Cd 3.12-3.38, 1 Tl 3.41
Cd  0.7294  0.7279  0.4565  5 Mg 3.09-3.26, 6 Cd 3.12-3.38, 1 Tl 3.41
Cd  0.9096  0.9097  0.8225  4 Mg 3.08-3.13, 5 Tl 3.24-3.37, 2 Cd 3.38

## Properties
**VASP energy**: -1.58 eV per atom
**Space-group type**: P-1 (2)
**M_tot**: 0.00 μB/cell

Mg4Tl3Cd | GGA-PBE | optimized geometry

a = 3.3875 Å, b = 7.9491 Å, c = 7.9491 Å
α = 100.63°, β = 90.00°, γ = 90.00°
With the nearest neighbours (Å) after each atom.
Element x y z (fractional)
Mg  0.0000  0.7596  0.7596  2 Cd 2.97, 4 Tl 3.06-3.13
Mg  0.5000  0.2412  0.7588  1 Cd 2.95, 5 Tl 3.05-3.17
Mg  0.0000  0.2404  0.2404  2 Cd 2.97, 4 Tl 3.06-3.13
Mg  0.5000  0.7588  0.2412  1 Cd 2.95, 5 Tl 3.05-3.17
Tl  0.0000  0.0000  0.5000  6 Mg 3.05-3.06, 2 Tl 3.39
Tl  0.5000  0.5000  0.5000  6 Mg 3.13-3.17, 2 Tl 3.39
Tl  0.0000  0.5000  0.0000  6 Mg 3.05-3.06, 2 Tl 3.39
Cd  0.5000  0.0000  0.0000  6 Mg 2.95-2.97

## Properties
**VASP energy**: -1.73 eV per atom
**Energy relative to the lowest polymorph listed for this composition**: 0.118 eV per atom
**Space-group type**: Cmmm (65)
**M_tot**: 0.00 μB/cell